1.
Density functional theory data (GGA-PBEsol) for a relaxed structure of YCrSn2Te.

The structure in POSCAR format:
```
YCrSn2Te
1.0
-1.998 -1.654 -4.963
4.631 -3.233 -0.787
-2.633 -4.386 2.522
Y Cr Te Sn
1 1 1 2
Direct
0.000 0.000 0.000
0.500 0.500 0.500
0.500 0.000 0.000
0.000 0.000 0.500
0.000 0.500 0.000
```

Symmetry: No. 123
Total energy in hartree per atom: -0.1845



2.
Density functional theory data (GGA-PBEsol) for a relaxed structure of TiCr3Sn.

The structure in POSCAR format:
```
TiCr3Sn
1.0
-0.695 3.515 -2.535
-4.119 -1.334 -0.721
-1.348 2.265 3.510
Cr Sn Ti
3 1 1
Direct
0.000 0.500 0.000
0.000 0.000 0.500
0.500 0.000 0.000
0.500 0.500 0.500
0.000 0.000 0.000
```

Symmetry: No. 221
Total energy in hartree per atom: -0.2707
Formation energy in eV/atom: 1.296



3.
Density functional theory data (GGA-PBEsol) for a relaxed structure of Tl3CrSn.

The structure in POSCAR format:
```
Tl3CrSn
1.0
5.623 0.000 0.000
0.000 5.623 0.000
0.000 0.000 5.623
Cr Tl Sn
1 3 1
Direct
0.500 0.500 0.500
0.000 0.500 0.000
0.000 0.000 0.500
0.500 0.000 0.000
0.000 0.000 0.000
```

Symmetry: No. 221
Total energy in hartree per atom: -0.1280
Formation energy in eV/atom: 0.994



4.
Density functional theory data (GGA-PBEsol) for a relaxed structure of ZrCr3Sn.

The structure in POSCAR format:
```
ZrCr3Sn
1.0
4.773 0.000 0.000
0.000 4.773 0.000
0.000 0.000 4.773
Cr Sn Zr
3 1 1
Direct
0.000 0.500 0.000
0.000 0.000 0.500
0.500 0.000 0.000
0.000 0.000 0.000
0.500 0.500 0.500
```

Symmetry: No. 221
Total energy in hartree per atom: -0.2646
Formation energy in eV/atom: 1.615



5.
Density functional theory data (GGA-PBEsol) for a relaxed structure of SrCr3.

The structure in POSCAR format:
```
SrCr3
1.0
3.073 0.000 0.000
-1.536 2.661 0.000
0.000 0.000 8.528
Cr Sr
3 1
Direct
0.000 0.000 0.185
0.000 0.000 0.815
0.333 0.667 0.000
0.333 0.667 0.500
```

Symmetry: No. 187
Total energy in hartree per atom: -0.2589
Formation energy in eV/atom: 1.097



6.
Density functional theory data (GGA-PBEsol) for a relaxed structure of SrCr.

The structure in POSCAR format:
```
SrCr
1.0
3.773 0.000 0.000
-1.886 3.267 0.000
0.000 0.000 5.120
Sr Cr
1 1
Direct
0.667 0.333 0.500
0.000 0.000 0.000
```

Symmetry: No. 187
Total energy in hartree per atom: -0.1770
Formation energy in eV/atom: 1.223



7.
Density functional theory data (GGA-PBEsol) for a relaxed structure of SrCr3.

The structure in POSCAR format:
```
SrCr3
1.0
2.906 0.000 0.000
1.453 2.516 0.000
1.453 0.839 8.682
Cr Sr
3 1
Direct
0.771 0.771 0.688
0.500 0.500 0.500
0.229 0.229 0.312
0.000 0.000 0.000
```

Symmetry: No. 166
Total energy in hartree per atom: -0.2578
Formation energy in eV/atom: 1.125



8.
Density functional theory data (GGA-PBEsol) for a relaxed structure of SrCr.

The structure in POSCAR format:
```
SrCr
1.0
-0.512 3.839 0.765
0.637 -0.679 3.836
3.862 0.621 -0.531
Sr Cr
1 1
Direct
0.500 0.500 0.500
0.000 0.000 0.000
```

Symmetry: No. 221
Total energy in hartree per atom: -0.1854
Formation energy in eV/atom: 0.995